An optimized crystal structure of La2NdSm12, computed with PBE.

a b c (Å): 6.8270 6.8270 25.1663
angles (deg): 90.00 90.00 116.24
Last column: nearest neighbours and their distance in Å.
Element x y z (fractional)
Sm1 0.5000 0.5000 0.6718  5 Sm 3.23-3.61
Sm2 0.0000 0.0000 0.1999  7 Sm 3.23-3.61
Sm3 0.7488 0.7512 0.0771  2 Nd 3.48-3.49, 9 Sm 3.58-3.88
Sm4 0.2303 0.7303 0.5808  7 Sm 3.31-3.70
Sm5 0.7487 0.2487 0.8720  8 Sm 3.42-3.65, 2 Nd 3.68-3.71
Sm6 0.2487 0.7487 0.1280  8 Sm 3.42-3.65, 2 Nd 3.68-3.71
Sm7 0.5000 0.5000 0.3282  5 Sm 3.23-3.61
Sm8 0.2733 0.2267 0.5595  5 Sm 3.04-3.36
Sm9 0.7267 0.7733 0.5595  5 Sm 3.04-3.36
Sm10 0.7733 0.7267 0.4405  5 Sm 3.04-3.36
Sm11 0.5000 0.5000 0.1999  7 Sm 3.23-3.61
Sm12 0.7512 0.7488 0.9229  2 Nd 3.48-3.49, 9 Sm 3.58-3.88
Sm13 0.2512 0.2488 0.0771  2 Nd 3.48-3.49, 9 Sm 3.58-3.88
Sm14 0.2513 0.7513 0.8720  8 Sm 3.42-3.65, 2 Nd 3.68-3.71
Sm15 0.0000 0.0000 0.6718  5 Sm 3.23-3.61
Sm16 0.2488 0.2512 0.9229  2 Nd 3.48-3.49, 9 Sm 3.58-3.88
Sm17 0.5000 0.5000 0.8001  7 Sm 3.23-3.61
Sm18 0.2697 0.7697 0.4192  7 Sm 3.31-3.70
Sm19 0.7303 0.2303 0.4192  7 Sm 3.31-3.70
Sm20 0.0000 0.0000 0.3282  5 Sm 3.23-3.61
Sm21 0.7513 0.2513 0.1280  8 Sm 3.42-3.65, 2 Nd 3.68-3.71
Sm22 0.7697 0.2697 0.5808  7 Sm 3.31-3.70
Sm23 0.0000 0.0000 0.8001  7 Sm 3.23-3.61
Sm24 0.2267 0.2733 0.4405  5 Sm 3.04-3.36
Nd1 0.5000 0.0000 0.9996  8 Sm 3.48-3.71, 2 Nd 3.61
Nd2 0.0000 0.5000 0.0004  8 Sm 3.48-3.71, 2 Nd 3.61
La1 0.0000 0.5000 0.2749  2 La 3.61, 8 Sm 3.67-3.90
La2 0.5000 0.0000 0.7251  2 La 3.61, 8 Sm 3.67-3.90
La3 0.0000 0.5000 0.7322  2 La 3.61, 10 Sm 3.74-3.96
La4 0.5000 0.0000 0.2678  2 La 3.61, 10 Sm 3.74-3.96

ρ: 7.03 g/cm3
Final energy: -4.603 eV/atom
V: 35.07 Å³/atom
Energy of formation from the pure elements: 0.148 eV per atom